# 1
The following is a PBE calculation of ScFe2Se after structural relaxation, from the Alexandria database.

abc: 5.790 5.790 5.790
angles: 101.18 101.18 127.76
Fractional positions:
Sc 0.000 0.000 0.000
Sc 0.750 0.250 0.500
Fe 0.180 0.125 0.555
Fe 0.375 0.820 0.945
Fe 0.570 0.625 0.445
Fe 0.875 0.430 0.055
Se 0.250 0.750 0.500
Se 0.500 0.500 0.000

Values from the calculation:
As for the formation energy from raw total energies: 0.23 eV/f.u. As for the density of states at the Fermi level: 7.99 states/eV per cell.


# 2
The following is a PBE calculation of Sc2FeSe after structural relaxation, from the Alexandria database.

abc: 5.604 5.604 5.604
angles: 140.35 140.35 57.32
Fractional positions:
Sc 0.000 0.000 0.000
Sc 0.750 0.250 0.500
Fe 0.500 0.500 0.000
Se 0.250 0.750 0.500

Values from the calculation:
As for the formation energy from raw total energies: -1.68 eV/f.u. As for the density of states at the Fermi level: 5.69 states/eV per cell.


# 3
The following is a PBE calculation of Sc2FeSe after structural relaxation, from the Alexandria database.

abc: 3.333 3.333 6.365
angles: 90.00 90.00 90.00
Fractional positions:
Sc 0.000 0.000 0.234
Sc 0.000 0.000 0.766
Fe 0.500 0.500 0.000
Se 0.500 0.500 0.500

Values from the calculation:
As for the formation energy from raw total energies: -2.69 eV/f.u. As for the density of states at the Fermi level: 2.04 states/eV per cell.


# 4
The following is a PBE calculation of ScFeSe2 after structural relaxation, from the Alexandria database.

abc: 3.460 3.380 6.758
angles: 90.00 90.09 90.00
Fractional positions:
Sc 0.000 0.000 0.000
Fe 0.500 0.000 0.500
Se 0.499 0.500 0.770
Se 0.501 0.500 0.230

Values from the calculation:
The calculation puts the energy relative to the lowest polymorph listed for this composition at 244.7 meV/atom. As for the formation energy from raw total energies: -2.51 eV/f.u. As for the density of states at the Fermi level: 3.54 states/eV per cell.